Record 1
Ca2Rh2O7 | Alexandria via LeMat-Bulk | PBE-GGA | optimized geometry; final energy = -6.359 eV per atom; uncorrected formation energy = -16.532 eV/f.u.; ρ = 4.86 Mg/m³; N(E_F) = 1.16 states/eV/atom
1.0
-5.6255 3.0771 3.4355
-6.7187 -2.6207 -0.9527
-3.3278 -3.5341 5.4178
Ca Rh O
4 4 14
direct
0.6250 0.6250 0.6250
0.6250 0.6250 0.1250
0.6250 0.1250 0.6250
0.1250 0.6250 0.6250
0.6250 0.1250 0.1250
0.1250 0.6250 0.1250
0.1250 0.1250 0.6250
0.1250 0.1250 0.1250
0.1996 0.1996 0.8004
0.1996 0.8004 0.1996
0.4496 0.0504 0.4496
0.4496 0.4496 0.0504
0.7500 0.7500 0.7500
0.8004 0.1996 0.1996
0.4496 0.0504 0.0504
0.0504 0.4496 0.4496
0.0504 0.0504 0.4496
0.0504 0.4496 0.0504
0.1996 0.8004 0.8004
0.5000 0.5000 0.5000
0.8004 0.1996 0.8004
0.8004 0.8004 0.1996

***

Record 2
YAlSe3 | Alexandria via LeMat-Bulk | PBE-GGA | optimized geometry; final energy = -5.475 eV per atom; uncorrected formation energy = -6.713 eV/f.u.; energy above the lowest structure with this stoichiometry = 28 meV per atom; ρ = 4.05 Mg/m³; N(E_F) = 0.00 states/eV/atom
1.0
8.4574 -0.0156 0.0048
-2.2813 8.9464 -0.0129
-0.9419 0.6552 3.8218
Y Al Se
2 2 6
direct
0.8600 0.3109 0.7399
0.9186 0.7434 0.5531
0.2778 0.6678 0.2703
0.6001 0.0389 0.2459
0.1456 0.8778 0.0994
0.1956 0.5119 0.8073
0.5119 0.1602 0.6411
0.9071 0.0975 0.3701
0.5714 0.7718 0.3638
0.7897 0.5127 0.1038

***

Record 3
Li3La2Pd3 | Alexandria via LeMat-Bulk | PBE-GGA | optimized geometry; final energy = -4.360 eV per atom; ρ = 5.39 Mg/m³; N(E_F) = 0.68 states/eV/atom
1.0
-0.2728 7.2291 2.5228
-7.5178 0.0439 -0.9387
-4.5384 -2.1509 5.6725
Li La Pd
6 4 6
direct
0.7500 0.0000 0.2292
0.7500 0.2292 0.7708
0.7500 0.7708 0.0000
0.2500 0.0000 0.7708
0.2500 0.7708 0.2292
0.2500 0.2292 0.0000
0.0000 0.3333 0.3333
0.5000 0.6667 0.6667
0.0000 0.6667 0.6667
0.5000 0.3333 0.3333
0.7500 0.0000 0.5888
0.7500 0.5888 0.4112
0.7500 0.4112 0.0000
0.2500 0.0000 0.4112
0.2500 0.4112 0.5888
0.2500 0.5888 0.0000

***

Record 4
TcMo2Os | Alexandria via LeMat-Bulk | PBE-GGA | optimized geometry; final energy = -10.656 eV per atom; energy above the lowest structure with this stoichiometry = 52 meV per atom; ρ = 13.07 Mg/m³; N(E_F) = 0.97 states/eV/atom
1.0
4.2931 0.0000 0.0000
0.0000 2.7278 -0.0121
0.0000 1.2700 5.2040
Mo Os Tc
2 1 1
direct
0.0000 0.0382 0.9978
0.5000 0.2034 0.2539
0.0000 0.4448 0.4969
0.5000 0.8136 0.7514

***

Record 5
Pm6PrZn2 | Alexandria via LeMat-Bulk | PBE-GGA | optimized geometry; final energy = -4.016 eV per atom; energy above the lowest structure with this stoichiometry = 99 meV per atom; ρ = 6.76 Mg/m³; N(E_F) = 1.27 states/eV/atom
1.0
-2.3579 -0.6925 -4.4269
3.0866 -3.8773 -1.0375
-7.0188 -6.8754 4.8140
Pm Pr Zn
6 1 2
direct
0.0000 0.5000 0.2589
0.5000 0.0000 0.2589
0.0000 0.5000 0.7412
0.5000 0.0000 0.7412
0.5000 0.5000 0.5000
0.0000 0.0000 0.5000
0.0000 0.0000 0.0000
0.5000 0.5000 0.1082
0.5000 0.5000 0.8918

***

Record 6
Ac2LaCe3Bi6 | Alexandria via LeMat-Bulk | PBE-GGA | optimized geometry; final energy = -5.419 eV per atom; ρ = 8.46 Mg/m³; N(E_F) = 1.61 states/eV/atom
1.0
8.1663 -0.0008 0.0004
-4.0819 7.0730 0.0004
-1.3624 -2.3589 7.7042
Ac La Ce Bi
2 1 3 6
direct
0.3340 0.6660 0.0000
0.6660 0.3340 0.0000
0.0000 0.0000 0.0000
0.1685 0.8315 0.5000
0.8315 0.1685 0.5000
0.5000 0.5000 0.5000
0.9126 0.5850 0.7371
0.7611 0.7611 0.2649
0.0874 0.4150 0.2629
0.5850 0.9126 0.7371
0.2389 0.2389 0.7351
0.4150 0.0874 0.2629